# CdAuN2 (PBE, optimized geometry)
# Raw total energy: -4.018 eV/atom
# Formation energy from raw total energies: 1193 meV/atom
data_CdAuN2
_chemical_formula_sum 'Cd3 Au3 N6'
_cell_length_a 3.3264
_cell_length_b 3.3264
_cell_length_c 18.9041
_cell_angle_alpha 90.00
_cell_angle_beta 90.00
_cell_angle_gamma 120.00
_symmetry_space_group_name_H-M 'R -3 m'
_symmetry_Int_Tables_number 166
_symmetry_space_group_name_Hall '-R 3 2"'
loop_
_atom_site_label
_atom_site_type_symbol
_atom_site_fract_x
_atom_site_fract_y
_atom_site_fract_z
Cd1 Cd 0.0000 0.0000 0.0000
Au1 Au 0.0000 0.0000 0.5000
N1 N 0.0000 0.0000 0.1138